1.
LiCo2Ni4 | GGA-PBE | relaxed

Fermi-level density of states: 13.79 states/eV/cell
formation energy: 0.2046 eV/atom

a b c (Å): 2.444 8.252 8.355
angles (deg): 90.00 90.00 98.52
Last column: magnetic moment on the atom in μB.
Fractional positions:
Ni1 0.500 0.000 0.000  0.53
Ni2 0.241 0.482 0.617  0.56
Ni3 0.241 0.482 0.883  0.56
Ni4 0.985 0.970 0.750  0.56
Ni5 0.500 0.000 0.500  0.53
Ni6 0.759 0.518 0.383  0.56
Ni7 0.015 0.030 0.250  0.56
Ni8 0.759 0.518 0.117  0.56
Co1 0.869 0.739 0.586  1.82
Co2 0.131 0.261 0.086  1.82
Co3 0.131 0.261 0.414  1.82
Co4 0.869 0.739 0.914  1.82
Li1 0.617 0.235 0.750  -0.02
Li2 0.383 0.765 0.250  -0.02

---

2.
YMg6BO8 | GGA-PBE | relaxed

distance to the lowest polymorph of the same formula: 0.0 kJ per mole of atoms

a b c (Å): 4.372 4.372 8.923
angles (deg): 90.00 90.00 90.00
Fractional positions:
O1 0.500 0.000 0.000
O2 0.500 0.500 0.272
O3 0.000 0.000 0.740
O4 0.000 0.000 0.260
O5 0.000 0.500 0.500
O6 0.500 0.500 0.728
O7 0.500 0.000 0.500
O8 0.000 0.500 0.000
Mg1 0.500 0.000 0.737
Mg2 0.500 0.000 0.263
Mg3 0.000 0.500 0.737
Mg4 0.000 0.500 0.263
Mg5 0.500 0.500 0.500
Mg6 0.000 0.000 0.500
Y1 0.000 0.000 0.000
B1 0.500 0.500 0.000

---

3.
VIn2Pb | GGA-PBE | relaxed

Fermi-level density of states: 8.62 states/eV/cell
formation energy: 0.4930 eV/atom

a b c (Å): 8.507 8.507 6.665
angles (deg): 50.34 50.34 90.00
Last column: magnetic moment on the atom in μB.
Fractional positions:
Pb1 0.000 0.000 0.000  -0.07
Pb2 0.750 0.250 0.500  -0.07
In1 0.581 0.125 0.250  0.00
In2 0.375 0.419 0.750  0.00
In3 0.169 0.625 0.250  0.00
In4 0.875 0.831 0.750  0.00
V1 0.250 0.750 0.500  2.35
V2 0.500 0.500 0.000  2.35

---

4.
HfAlS2Cl | GGA-PBE | relaxed

Fermi-level density of states: 3.82 states/eV/cell
distance to the lowest polymorph of the same formula: 53.8 kJ per mole of atoms

a b c (Å): 4.654 4.654 4.440
angles (deg): 90.00 90.00 90.00
Last column: magnetic moment on the atom in μB.
Fractional positions:
Cl1 0.000 0.000 0.500  0.01
Hf1 0.500 0.500 0.500  -0.78
Al1 0.000 0.000 0.000  -0.01
S1 0.000 0.500 0.000  0.03
S2 0.500 0.000 0.000  0.03

---

5.
TbDy2HoSc | GGA-PBE | relaxed

Fermi-level density of states: 13.46 states/eV/cell
formation energy: 0.3552 eV/atom

a b c (Å): 7.056 8.148 6.917
angles (deg): 126.08 90.00 90.00
Fractional positions:
Sc1 0.750 0.002 0.003
Sc2 0.250 0.998 0.997
Dy1 0.000 0.303 0.000
Dy2 0.500 0.303 0.000
Dy3 0.500 0.697 0.000
Dy4 0.000 0.697 0.000
Tb1 0.250 0.731 0.462
Tb2 0.750 0.269 0.538
Ho1 0.250 0.268 0.537
Ho2 0.750 0.732 0.463

---

6.
Tm4Bi2PSe | GGA-PBE | relaxed

Fermi-level density of states: 2.08 states/eV/cell

a b c (Å): 4.178 7.245 7.345
angles (deg): 109.07 90.00 90.00
Fractional positions:
Tm1 0.500 0.769 0.779
Tm2 0.000 0.752 0.226
Tm3 0.000 0.248 0.774
Tm4 0.500 0.231 0.221
Se1 0.500 0.500 0.000
Bi1 0.000 0.500 0.500
Bi2 0.500 0.000 0.500
P1 0.000 0.000 0.000

---

7.
Be3BiI | GGA-PBE | relaxed

Fermi-level density of states: 2.16 states/eV/cell
distance to the lowest polymorph of the same formula: 0.0 kJ per mole of atoms

a b c (Å): 5.070 5.070 5.070
angles (deg): 90.00 90.00 90.00
Fractional positions:
Bi1 0.000 0.000 0.000
Be1 0.000 0.000 0.500
Be2 0.000 0.500 0.000
Be3 0.500 0.000 0.000
I1 0.500 0.500 0.500

---

8.
UAg2S3 | GGA-PBE | relaxed

Fermi-level density of states: 8.61 states/eV/cell

a b c (Å): 4.142 9.930 9.191
angles (deg): 130.65 90.00 102.04
Last column: magnetic moment on the atom in μB.
Fractional positions:
U1 0.000 0.000 0.500  2.12
U2 0.500 0.000 0.000  2.03
Ag1 0.832 0.665 0.606  -0.02
Ag2 0.328 0.655 0.035  -0.01
Ag3 0.168 0.335 0.394  -0.02
Ag4 0.672 0.345 0.965  -0.01
S1 0.317 0.634 0.756  -0.04
S2 0.995 0.990 0.191  -0.06
S3 0.005 0.010 0.809  -0.06
S4 0.620 0.240 0.644  -0.06
S5 0.380 0.760 0.356  -0.06
S6 0.683 0.366 0.244  -0.04

---

9.
Tb3Y3MgSe8 | GGA-PBE | relaxed

Fermi-level density of states: 3.87 states/eV/cell

a b c (Å): 8.143 8.143 8.144
angles (deg): 119.99 90.00 120.00
Fractional positions:
Tb1 0.000 0.500 0.000
Tb2 0.500 0.500 0.000
Tb3 0.000 0.000 0.000
Se1 0.243 0.486 0.743
Se2 0.243 0.999 0.743
Se3 0.244 0.001 0.257
Se4 0.750 0.499 0.749
Se5 0.250 0.501 0.251
Se6 0.757 0.001 0.257
Se7 0.756 0.999 0.743
Se8 0.757 0.514 0.257
Y1 0.500 0.000 0.500
Y2 0.000 0.500 0.500
Y3 0.500 0.500 0.500
Mg1 0.000 0.000 0.500

---

10.
MgZr3Sc6 | GGA-PBE | relaxed

Fermi-level density of states: 26.61 states/eV/cell
formation energy: 0.0052 eV/atom

a b c (Å): 3.204 15.546 15.375
angles (deg): 141.39 90.00 90.00
Fractional positions:
Sc1 0.750 0.750 0.250
Sc2 0.750 0.353 0.152
Sc3 0.750 0.463 0.563
Sc4 0.250 0.250 0.750
Sc5 0.250 0.647 0.848
Sc6 0.250 0.166 0.348
Sc7 0.750 0.940 0.039
Sc8 0.250 0.060 0.961
Sc9 0.750 0.834 0.652
Sc10 0.250 0.537 0.437
Sc11 0.750 0.073 0.464
Sc12 0.250 0.927 0.536
Zr1 0.250 0.473 0.071
Zr2 0.750 0.527 0.929
Zr3 0.250 0.752 0.755
Zr4 0.750 0.248 0.245
Zr5 0.250 0.352 0.653
Zr6 0.750 0.648 0.347
Mg1 0.750 0.150 0.841
Mg2 0.250 0.850 0.159

---

11.
ZrFeSi | GGA-PBE | relaxed

Fermi-level density of states: 8.49 states/eV/cell

a b c (Å): 4.152 5.605 7.908
angles (deg): 90.00 90.00 90.00
Fractional positions:
Fe1 0.250 0.140 0.929
Fe2 0.750 0.360 0.429
Fe3 0.750 0.860 0.071
Fe4 0.250 0.640 0.571
Zr1 0.250 0.668 0.904
Zr2 0.250 0.168 0.596
Zr3 0.750 0.332 0.096
Zr4 0.750 0.832 0.404
Si1 0.750 0.506 0.701
Si2 0.250 0.994 0.201
Si3 0.750 0.006 0.799
Si4 0.250 0.494 0.299

---

12.
CrAgBr2 | GGA-PBE | relaxed

Fermi-level density of states: 3.68 states/eV/cell
distance to the lowest polymorph of the same formula: 46.6 kJ per mole of atoms

a b c (Å): 5.072 5.072 5.072
angles (deg): 60.00 60.00 60.00
Last column: magnetic moment on the atom in μB.
Fractional positions:
Cr1 0.250 0.250 0.250  4.14
Br1 0.750 0.750 0.750  0.09
Br2 0.000 0.000 0.000  -0.04
Ag1 0.500 0.500 0.500  0.06

---

| no. | final energy (eV per atom) |
| --- | --- |
| 1 | -5.403 |
| 2 | -6.154 |
| 3 | -4.083 |
| 4 | -5.026 |
| 5 | -4.594 |
| 6 | -5.511 |
| 7 | -2.167 |
| 8 | -5.564 |
| 9 | -5.951 |
| 10 | -6.518 |
| 11 | -7.832 |
| 12 | -3.563 |